a | # BeAl2Cl, relaxed, DFT PBE-GGA
# D(E_F) (states/eV/atom): 0.328
# Total magnetic moment (Bohr magnetons per cell): 0.0
data_BeAl2Cl
_chemical_formula_sum 'Be2 Al4 Cl2'
_cell_length_a 2.905
_cell_length_b 5.251
_cell_length_c 8.677
_cell_angle_alpha 90.00
_cell_angle_beta 90.00
_cell_angle_gamma 90.00
_space_group_name_H-M_alt 'I m m m'
_space_group_IT_number 71
_space_group_name_Hall '-I 2 2'
loop_
_atom_site_label
_atom_site_fract_x
_atom_site_fract_y
_atom_site_fract_z
_atom_site_occupancy
Be1 0.000 0.000 0.000 1
Al1 0.000 0.500 0.265 1
Cl1 0.000 0.000 0.500 1

b | # BeAl2Cl, relaxed, DFT PBE-GGA
# D(E_F) (states/eV/atom): 0.231
# Total magnetic moment (Bohr magnetons per cell): 0.0
data_BeAl2Cl
_chemical_formula_sum 'Be3 Al6 Cl3'
_cell_length_a 3.4763
_cell_length_b 3.4763
_cell_length_c 19.6938
_cell_angle_alpha 90.00
_cell_angle_beta 90.00
_cell_angle_gamma 120.00
_space_group_name_H-M_alt 'R -3 m'
_space_group_IT_number 166
_space_group_name_Hall '-R 3 2"'
loop_
_atom_site_label
_atom_site_fract_x
_atom_site_fract_y
_atom_site_fract_z
_atom_site_occupancy
Be1 0.0000 0.0000 0.0000 1
Al1 0.0000 0.0000 0.2720 1
Cl1 0.0000 0.0000 0.5000 1

c | # BeAl2Cl, relaxed, DFT PBE-GGA
# D(E_F) (states/eV/atom): 0.560
# Total magnetic moment (Bohr magnetons per cell): 0.0
data_BeAl2Cl
_chemical_formula_sum 'Be2 Al4 Cl2'
_cell_length_a 7.316
_cell_length_b 6.903
_cell_length_c 2.914
_cell_angle_alpha 90.00
_cell_angle_beta 111.55
_cell_angle_gamma 90.00
_space_group_name_H-M_alt 'C 1 2/m 1'
_space_group_IT_number 12
_space_group_name_Hall '-C 2y'
loop_
_atom_site_label
_atom_site_fract_x
_atom_site_fract_y
_atom_site_fract_z
_atom_site_occupancy
Be1 0.000 0.000 0.000 1
Al1 0.250 0.250 0.500 1
Cl1 0.000 0.500 0.000 1

Tell me which of them is the most stable. Sure, it is b.

a | # BeAl2Cl, relaxed, DFT PBE-GGA
# D(E_F) (states/eV/atom): 0.309
# Total magnetic moment (Bohr magnetons per cell): 0.0
data_BeAl2Cl
_chemical_formula_sum 'Be2 Al4 Cl2'
_cell_length_a 4.153
_cell_length_b 4.153
_cell_length_c 8.025
_cell_angle_alpha 90.00
_cell_angle_beta 90.00
_cell_angle_gamma 90.00
_space_group_name_H-M_alt 'I 4/m m m'
_space_group_IT_number 139
_space_group_name_Hall '-I 4 2'
loop_
_atom_site_label
_atom_site_fract_x
_atom_site_fract_y
_atom_site_fract_z
_atom_site_occupancy
Be1 0.000 0.000 0.000 1
Al1 0.000 0.500 0.250 1
Cl1 0.000 0.000 0.500 1

b | # BeAl2Cl, relaxed, DFT PBE-GGA
# D(E_F) (states/eV/atom): 0.351
# Total magnetic moment (Bohr magnetons per cell): 0.0
data_BeAl2Cl
_chemical_formula_sum 'Be1 Al2 Cl1'
_cell_length_a 4.874
_cell_length_b 4.874
_cell_length_c 2.778
_cell_angle_alpha 90.00
_cell_angle_beta 90.00
_cell_angle_gamma 90.00
_space_group_name_H-M_alt 'P 4/m m m'
_space_group_IT_number 123
_space_group_name_Hall '-P 4 2'
loop_
_atom_site_label
_atom_site_fract_x
_atom_site_fract_y
_atom_site_fract_z
_atom_site_occupancy
Be1 0.000 0.000 0.000 1
Al1 0.000 0.500 0.500 1
Cl1 0.500 0.500 0.500 1

c | # BeAl2Cl, relaxed, DFT PBE-GGA
# D(E_F) (states/eV/atom): 0.191
# Total magnetic moment (Bohr magnetons per cell): 0.0
data_BeAl2Cl
_chemical_formula_sum 'Be2 Al4 Cl2'
_cell_length_a 14.335
_cell_length_b 3.297
_cell_length_c 3.080
_cell_angle_alpha 90.00
_cell_angle_beta 101.41
_cell_angle_gamma 90.00
_space_group_name_H-M_alt 'C 1 m 1'
_space_group_IT_number 8
_space_group_name_Hall 'C -2y'
loop_
_atom_site_label
_atom_site_fract_x
_atom_site_fract_y
_atom_site_fract_z
_atom_site_occupancy
Be1 0.000 0.000 0.000 1
Al1 0.064 0.500 0.556 1
Al2 0.376 0.000 0.849 1
Cl1 0.231 0.500 0.713 1

Tell me which of them is the most stable. Sure, it is c.

a | # Be2Al2Cl, relaxed, DFT PBE-GGA
# D(E_F) (states/eV/atom): 0.557
# Total magnetic moment (Bohr magnetons per cell): 0.0
data_Be2Al2Cl
_chemical_formula_sum 'Be4 Al4 Cl2'
_cell_length_a 4.156
_cell_length_b 4.156
_cell_length_c 9.759
_cell_angle_alpha 90.00
_cell_angle_beta 90.00
_cell_angle_gamma 90.00
_space_group_name_H-M_alt 'I 4/m m m'
_space_group_IT_number 139
_space_group_name_Hall '-I 4 2'
loop_
_atom_site_label
_atom_site_fract_x
_atom_site_fract_y
_atom_site_fract_z
_atom_site_occupancy
Be1 0.000 0.000 0.112 1
Al1 0.000 0.500 0.250 1
Cl1 0.000 0.000 0.500 1

b | # Be2Al2Cl, relaxed, DFT PBE-GGA
# D(E_F) (states/eV/atom): 0.260
# Total magnetic moment (Bohr magnetons per cell): 0.0
data_Be2Al2Cl
_chemical_formula_sum 'Be4 Al4 Cl2'
_cell_length_a 7.158
_cell_length_b 7.158
_cell_length_c 2.918
_cell_angle_alpha 90.00
_cell_angle_beta 90.00
_cell_angle_gamma 90.00
_space_group_name_H-M_alt 'P 4/m b m'
_space_group_IT_number 127
_space_group_name_Hall '-P 4 2ab'
loop_
_atom_site_label
_atom_site_fract_x
_atom_site_fract_y
_atom_site_fract_z
_atom_site_occupancy
Be1 0.103 0.397 0.000 1
Al1 0.191 0.691 0.500 1
Cl1 0.000 0.000 0.000 1

Tell me which of them is the most stable. Sure, it is b.

a | # BeAl3Cl, relaxed, DFT PBE-GGA
# D(E_F) (states/eV/atom): 0.210
# Total magnetic moment (Bohr magnetons per cell): 0.0
data_BeAl3Cl
_chemical_formula_sum 'Be1 Al3 Cl1'
_cell_length_a 4.550
_cell_length_b 4.550
_cell_length_c 4.550
_cell_angle_alpha 90.00
_cell_angle_beta 90.00
_cell_angle_gamma 90.00
_space_group_name_H-M_alt 'P m -3 m'
_space_group_IT_number 221
_space_group_name_Hall '-P 4 2 3'
loop_
_atom_site_label
_atom_site_fract_x
_atom_site_fract_y
_atom_site_fract_z
_atom_site_occupancy
Be1 0.000 0.000 0.000 1
Al1 0.000 0.000 0.500 1
Cl1 0.500 0.500 0.500 1

b | # BeAl3Cl, relaxed, DFT PBE-GGA
# D(E_F) (states/eV/atom): 0.612
# Total magnetic moment (Bohr magnetons per cell): 0.0
data_BeAl3Cl
_chemical_formula_sum 'Be1 Al3 Cl1'
_cell_length_a 4.915
_cell_length_b 4.915
_cell_length_c 4.915
_cell_angle_alpha 90.00
_cell_angle_beta 90.00
_cell_angle_gamma 90.00
_space_group_name_H-M_alt 'P m -3 m'
_space_group_IT_number 221
_space_group_name_Hall '-P 4 2 3'
loop_
_atom_site_label
_atom_site_fract_x
_atom_site_fract_y
_atom_site_fract_z
_atom_site_occupancy
Be1 0.000 0.000 0.000 1
Al1 0.000 0.500 0.500 1
Cl1 0.500 0.500 0.500 1

Tell me which of them is the most stable. Sure, it is a.

a | # BeAlCl, relaxed, DFT PBE-GGA
# D(E_F) (states/eV/atom): 0.187
# Total magnetic moment (Bohr magnetons per cell): 0.0
data_BeAlCl
_chemical_formula_sum 'Be4 Al4 Cl4'
_cell_length_a 6.383
_cell_length_b 6.383
_cell_length_c 6.383
_cell_angle_alpha 90.00
_cell_angle_beta 90.00
_cell_angle_gamma 90.00
_space_group_name_H-M_alt 'F -4 3 m'
_space_group_IT_number 216
_space_group_name_Hall 'F -4 2 3'
loop_
_atom_site_label
_atom_site_fract_x
_atom_site_fract_y
_atom_site_fract_z
_atom_site_occupancy
Be1 0.000 0.000 0.000 1
Al1 0.250 0.250 0.750 1
Cl1 0.250 0.250 0.250 1

b | # BeAlCl, relaxed, DFT PBE-GGA
# D(E_F) (states/eV/atom): 0.776
# Total magnetic moment (Bohr magnetons per cell): 0.0
data_BeAlCl
_chemical_formula_sum 'Be1 Al1 Cl1'
_cell_length_a 3.0181
_cell_length_b 3.0181
_cell_length_c 7.7395
_cell_angle_alpha 90.00
_cell_angle_beta 90.00
_cell_angle_gamma 120.00
_space_group_name_H-M_alt 'P 3 m 1'
_space_group_IT_number 156
_space_group_name_Hall 'P 3 -2"'
loop_
_atom_site_label
_atom_site_fract_x
_atom_site_fract_y
_atom_site_fract_z
_atom_site_occupancy
Be1 0.0000 0.0000 0.0000 1
Al1 0.3333 0.6667 0.7368 1
Cl1 0.6667 0.3333 0.1589 1

c | # BeAlCl, relaxed, DFT PBE-GGA
# D(E_F) (states/eV/atom): 0.288
# Total magnetic moment (Bohr magnetons per cell): 0.0
data_BeAlCl
_chemical_formula_sum 'Be4 Al4 Cl4'
_cell_length_a 2.888
_cell_length_b 5.778
_cell_length_c 15.808
_cell_angle_alpha 90.00
_cell_angle_beta 90.00
_cell_angle_gamma 90.00
_space_group_name_H-M_alt 'F m m 2'
_space_group_IT_number 42
_space_group_name_Hall 'F 2 -2'
loop_
_atom_site_label
_atom_site_fract_x
_atom_site_fract_y
_atom_site_fract_z
_atom_site_occupancy
Be1 0.000 0.000 0.000 1
Al1 0.000 0.000 0.365 1
Cl1 0.000 0.000 0.588 1

d | # BeAlCl, relaxed, DFT PBE-GGA
# D(E_F) (states/eV/atom): 0.228
# Total magnetic moment (Bohr magnetons per cell): 0.0
data_BeAlCl
_chemical_formula_sum 'Be1 Al1 Cl1'
_cell_length_a 4.4234
_cell_length_b 4.4234
_cell_length_c 2.9451
_cell_angle_alpha 90.00
_cell_angle_beta 90.00
_cell_angle_gamma 120.00
_space_group_name_H-M_alt 'P 3 m 1'
_space_group_IT_number 156
_space_group_name_Hall 'P 3 -2"'
loop_
_atom_site_label
_atom_site_fract_x
_atom_site_fract_y
_atom_site_fract_z
_atom_site_occupancy
Be1 0.0000 0.0000 0.0000 1
Al1 0.3333 0.6667 0.4988 1
Cl1 0.6667 0.3333 0.0039 1

Tell me which of them is the most stable. Sure, it is b.

a | # Na4BeAlSi4ClO12, relaxed, DFT PBE-GGA
# D(E_F) (states/eV/atom): 0.000
# Total magnetic moment (Bohr magnetons per cell): 0.0
data_Na4BeAlSi4ClO12
_chemical_formula_sum 'Na8 Be2 Al2 Si8 Cl2 O24'
_cell_length_a 8.724
_cell_length_b 8.724
_cell_length_c 8.964
_cell_angle_alpha 90.00
_cell_angle_beta 90.00
_cell_angle_gamma 90.00
_space_group_name_H-M_alt 'I -4'
_space_group_IT_number 82
_space_group_name_Hall 'I -4'
loop_
_atom_site_label
_atom_site_fract_x
_atom_site_fract_y
_atom_site_fract_z
_atom_site_occupancy
Na1 0.155 0.197 0.319 1
Be1 0.000 0.500 0.250 1
Al1 0.000 0.500 0.750 1
Si1 0.013 0.254 0.004 1
Cl1 0.000 0.000 0.500 1
O1 0.039 0.652 0.149 1
O2 0.076 0.351 0.862 1
O3 0.134 0.850 0.942 1

b | # Na4BeAlSi4ClO12, relaxed, DFT PBE-GGA
# D(E_F) (states/eV/atom): 0.000
# Total magnetic moment (Bohr magnetons per cell): 0.0
data_Na4BeAlSi4ClO12
_chemical_formula_sum 'Na16 Be4 Al4 Si16 Cl4 O48'
_cell_length_a 8.873
_cell_length_b 12.672
_cell_length_c 12.614
_cell_angle_alpha 90.00
_cell_angle_beta 90.06
_cell_angle_gamma 90.00
_space_group_name_H-M_alt 'C 1 c 1'
_space_group_IT_number 9
_space_group_name_Hall 'C -2yc'
loop_
_atom_site_label
_atom_site_fract_x
_atom_site_fract_y
_atom_site_fract_z
_atom_site_occupancy
Na1 0.000 0.052 0.000 1
Na2 0.337 0.237 0.794 1
Na3 0.373 0.266 0.163 1
Na4 0.473 0.070 0.487 1
Be1 0.165 0.122 0.606 1
Al1 0.178 0.378 0.363 1
Si1 0.159 0.367 0.616 1
Si2 0.172 0.130 0.360 1
Si3 0.411 0.004 0.730 1
Si4 0.425 0.492 0.738 1
Cl1 0.168 0.249 0.986 1
O1 0.010 0.402 0.687 1
O2 0.018 0.076 0.671 1
O3 0.019 0.409 0.287 1
O4 0.024 0.110 0.282 1
O5 0.124 0.401 0.495 1
O6 0.129 0.107 0.480 1
O7 0.187 0.245 0.641 1
O8 0.232 0.249 0.332 1
O9 0.306 0.436 0.653 1
O10 0.308 0.047 0.327 1
O11 0.318 0.056 0.635 1
O12 0.337 0.458 0.339 1

Tell me which of them is the most stable. Sure, it is a.